The following is a GGA-PBE calculation of a relaxed La2TeCl crystal, from the Alexandria database.

abc: 7.394 7.394 7.394
angles: 145.46 145.46 49.64
Fractional coordinates of all 4 atoms:
La 0.000 0.000 0.000
La 0.750 0.250 0.500
Te 0.250 0.750 0.500
Cl 0.500 0.500 0.000

The calculated density comes out at 5.7 g/cm3. The value obtained for the magnetization is 0.0 μB per formula unit. For the energy relative to the elements, uncorrected, the calculation gives -1203 meV/atom.